A plane-wave DFT calculation with PBE was carried out for NaNdSO after structural relaxation.

a b c (Å): 3.8534 3.8534 18.8518
angles (deg): 90.00 90.00 120.00
Space group R3m (No. 160, hexagonal axes)
One atom of each set of equivalent atoms:
1 Na 0.0000 0.0000 0.0000
2 Nd 0.0000 0.0000 0.5121
3 S 0.0000 0.0000 0.7504
4 O 0.0000 0.0000 0.2283

**VASP energy**: -5.94 eV per atom
**Density**: 4.424 Mg/m³
**Raw formation energy**: -2148 meV/atom
**V**: 242.42 Å³/cell
**N(E_F)**: 0.0 states/eV/f.u.